# 1
## Ac2PrRe (PBE-GGA)

Data for crystalline Ac2PrRe at its relaxed geometry.

Values from the calculation:
Formation energy: 1.094 eV/atom
Fermi-level density of states: 5.97 states/eV/cell
Raw total energy: -5.2675 eV/atom

a = 3.5850 Å, b = 3.5850 Å, c = 12.1135 Å
α = 81.49°, β = 81.49°, γ = 60.00°
Fractional coordinates of all 4 atoms:
Ac: 0.9249 0.9249 0.2254
Ac: 0.0751 0.0751 0.7746
Pr: 0.5000 0.5000 0.5000
Re: 0.0000 0.0000 0.0000


# 2
## Ti2GaAgH (PBE-GGA)

Data for crystalline Ti2GaAgH at its relaxed geometry.

Values from the calculation:
Fermi-level density of states: 3.18 states/eV/cell
Raw total energy: -5.2364 eV/atom

a = 4.0111 Å, b = 4.0111 Å, c = 4.2023 Å
α = 90.00°, β = 90.00°, γ = 90.00°
Fractional coordinates of all 5 atoms:
Ti: 0.0000 0.5000 0.0000
Ti: 0.5000 0.0000 0.0000
Ag: 0.0000 0.0000 0.5000
H: 0.0000 0.0000 0.0000
Ga: 0.5000 0.5000 0.5000


# 3
## Th8TcGe3Te4 (PBE-GGA)

Data for crystalline Th8TcGe3Te4 at its relaxed geometry.

Values from the calculation:
Energy relative to the elements, uncorrected: -0.912 eV/atom
Fermi-level density of states: 13.49 states/eV/cell
Raw total energy: -6.9206 eV/atom

a = 8.6965 Å, b = 8.9184 Å, c = 8.6969 Å
α = 119.18°, β = 120.00°, γ = 90.00°
Fractional coordinates of all 16 atoms:
Th: 0.7529 0.7100 0.9814
Th: 0.2602 0.2808 0.5205
Th: 0.2285 0.7100 0.9814
Th: 0.7398 0.7192 0.4795
Th: 0.7714 0.2900 0.5428
Th: 0.2286 0.7100 0.4572
Th: 0.2471 0.2900 0.0186
Th: 0.7715 0.2900 0.0186
Te: 0.0000 0.0000 0.0000
Te: 0.0000 0.0000 0.5000
Te: 0.5000 0.0000 0.0000
Te: 0.5000 0.0000 0.5000
Tc: 0.0000 0.5000 0.0000
Ge: 0.5000 0.5000 0.5000
Ge: 0.5000 0.5000 0.0000
Ge: 0.0000 0.5000 0.5000


# 4
## ScZn12Au6 (PBE-GGA)

Data for crystalline ScZn12Au6 at its relaxed geometry.

Values from the calculation:
Formation energy: -0.157 eV/atom
Fermi-level density of states: 5.35 states/eV/cell
Raw total energy: -2.3302 eV/atom

a = 7.3037 Å, b = 7.3037 Å, c = 7.3037 Å
α = 105.62°, β = 105.62°, γ = 105.62°
Fractional coordinates of all 19 atoms:
Zn: 0.8720 0.6333 0.6333
Zn: 0.5000 0.8911 0.1089
Zn: 0.3667 0.3667 0.1280
Zn: 0.8911 0.1089 0.5000
Zn: 0.3667 0.1280 0.3667
Zn: 0.6333 0.6333 0.8720
Zn: 0.1089 0.8911 0.5000
Zn: 0.8911 0.5000 0.1089
Zn: 0.1089 0.5000 0.8911
Zn: 0.1280 0.3667 0.3667
Zn: 0.5000 0.1089 0.8911
Zn: 0.6333 0.8720 0.6333
Au: 0.2872 0.7061 0.7061
Au: 0.2939 0.7128 0.2939
Au: 0.7061 0.7061 0.2872
Au: 0.7061 0.2872 0.7061
Au: 0.2939 0.2939 0.7128
Au: 0.7128 0.2939 0.2939
Sc: 0.0000 0.0000 0.0000


# 5
## Ho3BeSi3 (PBE-GGA)

Data for crystalline Ho3BeSi3 at its relaxed geometry.

Values from the calculation:
Energy relative to the elements, uncorrected: -0.715 eV/atom
Fermi-level density of states: 4.79 states/eV/cell
Raw total energy: -5.5332 eV/atom

a = 3.8319 Å, b = 4.1578 Å, c = 9.0810 Å
α = 103.23°, β = 102.18°, γ = 90.00°
Fractional coordinates of all 7 atoms:
Ho: 0.6848 0.1848 0.3695
Ho: 0.3167 0.8167 0.6335
Ho: 0.9989 0.9989 0.9979
Be: 0.4321 0.4321 0.8641
Si: 0.8639 0.3639 0.7279
Si: 0.5589 0.5589 0.1178
Si: 0.1447 0.6447 0.2894


# 6
## CoPbAu2 (PBE-GGA)

Data for crystalline CoPbAu2 at its relaxed geometry.

Values from the calculation:
Formation energy: 0.332 eV/atom
Fermi-level density of states: 5.48 states/eV/cell
Raw total energy: -4.0103 eV/atom

a = 5.0034 Å, b = 5.0034 Å, c = 5.0034 Å
α = 128.65°, β = 128.49°, γ = 75.70°
Last column: magnetic moment on the atom in μB.
Fractional coordinates of all 4 atoms:
Au: 0.7495 0.2495 0.5000  0.00
Au: 0.9998 0.9998 0.0000  0.02
Co: 0.5004 0.5004 0.0000  1.58
Pb: 0.2503 0.7503 0.5000  -0.01


# 7
## NbSb2TeN (PBE-GGA)

Data for crystalline NbSb2TeN at its relaxed geometry.

Values from the calculation:
Energy relative to the elements, uncorrected: 0.698 eV/atom
Fermi-level density of states: 3.39 states/eV/cell
Raw total energy: -5.2586 eV/atom

a = 4.6978 Å, b = 4.6978 Å, c = 4.6125 Å
α = 90.00°, β = 90.00°, γ = 90.00°
Last column: magnetic moment on the atom in μB.
Fractional coordinates of all 5 atoms:
N: 0.0000 0.0000 0.0000  -0.03
Te: 0.0000 0.0000 0.5000  -0.03
Sb: 0.5000 0.0000 0.0000  -0.04
Sb: 0.0000 0.5000 0.0000  -0.04
Nb: 0.5000 0.5000 0.5000  1.38


# 8
## SiAgSe2 (PBE-GGA)

Data for crystalline SiAgSe2 at its relaxed geometry.

Values from the calculation:
Energy relative to the elements, uncorrected: 0.539 eV/atom
Fermi-level density of states: 3.53 states/eV/cell
Raw total energy: -3.2718 eV/atom

a = 4.8041 Å, b = 4.8041 Å, c = 4.8041 Å
α = 60.00°, β = 60.00°, γ = 60.00°
Fractional coordinates of all 4 atoms:
Se: 0.0000 0.0000 0.0000
Se: 0.2500 0.2500 0.2500
Ag: 0.5000 0.5000 0.5000
Si: 0.7500 0.7500 0.7500


# 9
## Tb7Ho4Er (PBE-GGA)

Data for crystalline Tb7Ho4Er at its relaxed geometry.

Values from the calculation:
Formation energy: 0.289 eV/atom
Fermi-level density of states: 19.02 states/eV/cell
Raw total energy: -4.3184 eV/atom

a = 5.8667 Å, b = 11.4805 Å, c = 6.6527 Å
α = 83.66°, β = 63.84°, γ = 75.20°
Fractional coordinates of all 12 atoms:
Tb: 0.3679 0.5001 0.7641
Tb: 0.7883 0.9233 0.5001
Tb: 0.0624 0.6811 0.1941
Tb: 0.2117 0.0767 0.4999
Tb: 0.9376 0.3189 0.8059
Tb: 0.5000 0.0000 0.0000
Tb: 0.6321 0.4999 0.2359
Ho: 0.7585 0.6794 0.8035
Ho: 0.3607 0.7758 0.5028
Ho: 0.2415 0.3206 0.1965
Ho: 0.6393 0.2242 0.4972
Er: 0.0000 0.0000 0.0000


# 10
## Tb8PrHo5 (PBE-GGA)

Data for crystalline Tb8PrHo5 at its relaxed geometry.

Values from the calculation:
Formation energy: 0.245 eV/atom
Fermi-level density of states: 21.81 states/eV/cell
Raw total energy: -4.3772 eV/atom

a = 8.4448 Å, b = 8.4448 Å, c = 8.4448 Å
α = 111.66°, β = 105.18°, γ = 111.66°
Fractional coordinates of all 14 atoms:
Tb: 0.5324 0.6057 0.2799
Tb: 0.0733 0.7476 0.4676
Tb: 0.5742 0.9144 0.8350
Tb: 0.6743 0.3943 0.9267
Tb: 0.9206 0.0856 0.6598
Tb: 0.3402 0.2609 0.4258
Tb: 0.7201 0.2524 0.3257
Tb: 0.1650 0.7391 0.0794
Ho: 0.5000 0.0000 0.5000
Ho: 0.2807 0.0955 0.9595
Ho: 0.8639 0.9045 0.1851
Ho: 0.0405 0.3212 0.1361
Ho: 0.8149 0.6788 0.7193
Pr: 0.2500 0.5000 0.7500


# 11
## Bi3RhAu (PBE-GGA)

Data for crystalline Bi3RhAu at its relaxed geometry.

Values from the calculation:
Formation energy: -0.092 eV/atom
Fermi-level density of states: 12.87 states/eV/cell
Raw total energy: -4.5460 eV/atom

a = 7.4580 Å, b = 7.1292 Å, c = 10.0887 Å
α = 92.90°, β = 90.00°, γ = 90.00°
Fractional coordinates of all 20 atoms:
Bi: 0.9179 0.4072 0.3681
Bi: 0.0953 0.9273 0.3384
Bi: 0.9416 0.7561 0.0052
Bi: 0.5954 0.0727 0.1617
Bi: 0.0821 0.5928 0.6319
Bi: 0.4179 0.5928 0.1319
Bi: 0.4415 0.2438 0.4948
Bi: 0.5821 0.4072 0.8681
Bi: 0.5585 0.7562 0.5052
Bi: 0.0584 0.2439 0.9948
Bi: 0.4046 0.9273 0.8383
Bi: 0.9047 0.0727 0.6616
Au: 0.2526 0.2821 0.7485
Au: 0.7526 0.7178 0.7515
Au: 0.2474 0.2822 0.2485
Au: 0.7474 0.7179 0.2515
Rh: 0.2457 0.9256 0.5866
Rh: 0.7543 0.0744 0.4134
Rh: 0.2543 0.9256 0.0866
Rh: 0.7457 0.0744 0.9134


# 12
## CsGa2Sn2 (PBE-GGA)

Data for crystalline CsGa2Sn2 at its relaxed geometry.

Values from the calculation:
Formation energy: -0.016 eV/atom
Fermi-level density of states: 5.29 states/eV/cell
Raw total energy: -2.9986 eV/atom

a = 9.2835 Å, b = 9.2835 Å, c = 3.4269 Å
α = 90.00°, β = 90.00°, γ = 90.00°
Fractional coordinates of all 10 atoms:
Ga: 0.8625 0.6375 0.0000
Ga: 0.3625 0.8625 0.0000
Ga: 0.1375 0.3625 0.0000
Ga: 0.6375 0.1375 0.0000
Sn: 0.3678 0.1322 0.5000
Sn: 0.8678 0.3678 0.5000
Sn: 0.6322 0.8678 0.5000
Sn: 0.1322 0.6322 0.5000
Cs: 0.5000 0.5000 0.0000
Cs: 0.0000 0.0000 0.0000


# 13
## Tb3NdYSc (PBE-GGA)

Data for crystalline Tb3NdYSc at its relaxed geometry.

Values from the calculation:
Formation energy: 0.026 eV/atom
Fermi-level density of states: 17.36 states/eV/cell
Raw total energy: -5.2161 eV/atom

a = 3.5733 Å, b = 9.4607 Å, c = 11.8662 Å
α = 110.39°, β = 90.00°, γ = 90.00°
Fractional coordinates of all 12 atoms:
Tb: 0.7500 0.9253 0.0946
Tb: 0.7500 0.3257 0.1500
Tb: 0.2500 0.5676 0.4003
Tb: 0.2500 0.6743 0.8500
Tb: 0.2500 0.0747 0.9054
Tb: 0.7500 0.4324 0.5997
Sc: 0.7500 0.3809 0.8823
Sc: 0.2500 0.6191 0.1177
Y: 0.2500 0.1829 0.3444
Y: 0.7500 0.8171 0.6556
Nd: 0.2500 0.1310 0.6319
Nd: 0.7500 0.8690 0.3681


# 14
## Li2NiHRh (PBE-GGA)

Data for crystalline Li2NiHRh at its relaxed geometry.

Values from the calculation:
Fermi-level density of states: 4.55 states/eV/cell
Raw total energy: -4.1830 eV/atom

a = 3.7169 Å, b = 3.7169 Å, c = 3.7219 Å
α = 90.00°, β = 90.00°, γ = 90.00°
Last column: magnetic moment on the atom in μB.
Fractional coordinates of all 5 atoms:
Li: 0.5000 0.0000 0.0000  0.00
Li: 0.0000 0.5000 0.0000  0.00
Ni: 0.5000 0.5000 0.5000  0.34
Rh: 0.0000 0.0000 0.5000  0.12
H: 0.0000 0.0000 0.0000  0.00


# 15
## Pu2SbAs (PBE-GGA)

Data for crystalline Pu2SbAs at its relaxed geometry.

Values from the calculation:
Energy relative to the elements, uncorrected: -0.626 eV/atom
Fermi-level density of states: 18.76 states/eV/cell
Raw total energy: -9.9846 eV/atom

a = 5.1712 Å, b = 5.1712 Å, c = 5.1712 Å
α = 60.00°, β = 60.00°, γ = 60.00°
Last column: magnetic moment on the atom in μB.
Fractional coordinates of all 4 atoms:
Pu: 0.7500 0.7500 0.7500  5.22
Pu: 0.2500 0.2500 0.2500  5.22
As: 0.5000 0.5000 0.5000  -0.20
Sb: 0.0000 0.0000 0.0000  -0.18


# 16
## Ca2SmHoS4 (PBE-GGA)

Data for crystalline Ca2SmHoS4 at its relaxed geometry.

Values from the calculation:
Energy relative to the elements, uncorrected: -2.051 eV/atom
Fermi-level density of states: 3.28 states/eV/cell
Raw total energy: -5.7776 eV/atom

a = 3.9592 Å, b = 6.8587 Å, c = 6.9690 Å
α = 109.14°, β = 90.00°, γ = 90.00°
Fractional coordinates of all 8 atoms:
S: 0.5000 0.7567 0.7544
S: 0.0000 0.7557 0.2497
S: 0.5000 0.2433 0.2456
S: 0.0000 0.2443 0.7503
Ca: 0.0000 0.5000 0.5000
Ca: 0.5000 0.0000 0.5000
Sm: 0.5000 0.5000 0.0000
Ho: 0.0000 0.0000 0.0000


# 17
## Li4TlGa (PBE-GGA)

Data for crystalline Li4TlGa at its relaxed geometry.

Values from the calculation:
Formation energy: -0.216 eV/atom
Fermi-level density of states: 2.33 states/eV/cell
Raw total energy: -2.3908 eV/atom

a = 2.8934 Å, b = 4.6020 Å, c = 8.5509 Å
α = 90.00°, β = 110.58°, γ = 90.01°
Fractional coordinates of all 6 atoms:
Li: 0.2524 0.9973 0.1758
Li: 0.7739 0.4974 0.6554
Li: 0.2308 0.4975 0.3411
Li: 0.7485 0.9973 0.8203
Tl: 0.5014 0.4971 0.9982
Ga: 0.0008 0.9971 0.4979


# 18
## CaTm2Pt3 (PBE-GGA)

Data for crystalline CaTm2Pt3 at its relaxed geometry.

Values from the calculation:
Formation energy: -1.191 eV/atom
Fermi-level density of states: 2.30 states/eV/cell
Raw total energy: -6.0359 eV/atom

a = 3.4279 Å, b = 3.4279 Å, c = 10.6299 Å
α = 90.00°, β = 90.00°, γ = 90.00°
Fractional coordinates of all 6 atoms:
Pt: 0.0000 0.0000 0.6859
Pt: 0.0000 0.0000 0.0000
Pt: 0.0000 0.0000 0.3141
Tm: 0.5000 0.5000 0.8333
Tm: 0.5000 0.5000 0.1667
Ca: 0.5000 0.5000 0.5000


# 19
## Ba2SmGaTe5 (PBE-GGA)

Data for crystalline Ba2SmGaTe5 at its relaxed geometry.

Values from the calculation:
Energy relative to the elements, uncorrected: -1.298 eV/atom
Raw total energy: -4.3309 eV/atom

a = 7.9213 Å, b = 9.3775 Å, c = 10.2340 Å
α = 103.37°, β = 103.04°, γ = 107.39°
Fractional coordinates of all 18 atoms:
Te: 0.0121 0.3252 0.3218
Te: 0.0121 0.8408 0.3178
Te: 0.6954 0.4072 0.9418
Te: 0.2948 0.0918 0.0719
Te: 0.9879 0.6748 0.6782
Te: 0.3046 0.5928 0.0582
Te: 0.7052 0.9082 0.9281
Te: 0.5139 0.2589 0.5085
Te: 0.9879 0.1592 0.6822
Te: 0.4861 0.7411 0.4915
Ba: 0.3557 0.5150 0.7123
Ba: 0.6443 0.4850 0.2877
Ba: 0.6399 0.9820 0.2942
Ba: 0.3601 0.0180 0.7058
Sm: 0.0009 0.2667 0.0019
Sm: 0.9991 0.7333 0.9981
Ga: 0.1900 0.1261 0.3114
Ga: 0.8100 0.8739 0.6886


# 20
## Ca2Ac2RhAu2 (PBE-GGA)

Data for crystalline Ca2Ac2RhAu2 at its relaxed geometry.

Values from the calculation:
Formation energy: -0.668 eV/atom
Fermi-level density of states: 3.53 states/eV/cell
Raw total energy: -4.4006 eV/atom

a = 4.1546 Å, b = 7.7748 Å, c = 7.9988 Å
α = 63.53°, β = 89.98°, γ = 74.60°
Fractional coordinates of all 7 atoms:
Ca: 0.7886 0.4227 0.7240
Ca: 0.2114 0.5773 0.2760
Au: 0.8817 0.2351 0.4458
Au: 0.1183 0.7649 0.5542
Rh: 0.0000 0.0000 0.0000
Ac: 0.4628 0.0743 0.2189
Ac: 0.5372 0.9257 0.7811


# 21
## LiDy2Al2Ni5 (PBE-GGA)

Data for crystalline LiDy2Al2Ni5 at its relaxed geometry.

Values from the calculation:
Formation energy: -0.260 eV/atom
Fermi-level density of states: 17.52 states/eV/cell
Raw total energy: -5.0107 eV/atom

a = 3.2833 Å, b = 9.7617 Å, c = 9.7617 Å
α = 90.00°, β = 90.00°, γ = 90.00°
Fractional coordinates of all 20 atoms:
Ni: 0.5000 0.0584 0.7942
Ni: 0.5000 0.5584 0.7058
Ni: 0.5000 0.2942 0.5584
Ni: 0.5000 0.4416 0.2942
Ni: 0.5000 0.5000 0.0000
Ni: 0.5000 0.2058 0.0584
Ni: 0.5000 0.7058 0.4416
Ni: 0.5000 0.9416 0.2058
Ni: 0.5000 0.7942 0.9416
Ni: 0.5000 0.0000 0.5000
Al: 0.0000 0.3771 0.1229
Al: 0.0000 0.1229 0.6229
Al: 0.0000 0.6229 0.8771
Al: 0.0000 0.8771 0.3771
Dy: 0.0000 0.8243 0.6757
Dy: 0.0000 0.3243 0.8243
Dy: 0.0000 0.6757 0.1757
Dy: 0.0000 0.1757 0.3243
Li: 0.0000 0.5000 0.5000
Li: 0.0000 0.0000 0.0000


# 22
## Tb2NdHo4Tl (PBE-GGA)

Data for crystalline Tb2NdHo4Tl at its relaxed geometry.

Values from the calculation:
Formation energy: 0.108 eV/atom
Fermi-level density of states: 23.70 states/eV/cell
Raw total energy: -4.2305 eV/atom

a = 3.5817 Å, b = 8.6745 Å, c = 17.2384 Å
α = 90.00°, β = 90.00°, γ = 101.91°
Fractional coordinates of all 16 atoms:
Ho: 0.4584 0.9169 0.2500
Ho: 0.0000 0.0000 0.0000
Ho: 0.0000 0.0000 0.5000
Ho: 0.5416 0.0831 0.7500
Ho: 0.6712 0.3425 0.9171
Ho: 0.6712 0.3425 0.5829
Ho: 0.3288 0.6575 0.0829
Ho: 0.3288 0.6575 0.4171
Tb: 0.3554 0.7108 0.6037
Tb: 0.6446 0.2892 0.3963
Tb: 0.3554 0.7108 0.8963
Tb: 0.6446 0.2892 0.1037
Tl: 0.8917 0.7834 0.7500
Tl: 0.1083 0.2166 0.2500
Nd: 0.7817 0.5634 0.2500
Nd: 0.2183 0.4366 0.7500